# LiTe2Mo, optimized geometry, DFT PBE-GGA
# * space-group type: R-3m
# * excess energy over the best structure of this formula in the dataset: 0.318 eV/f.u.
data_LiTe2Mo
_cell_length_a 9.2640
_cell_length_b 9.2640
_cell_length_c 9.2640
_cell_angle_alpha 22.20
_cell_angle_beta 22.20
_cell_angle_gamma 22.20
_symmetry_space_group_name_H-M 'P 1'
_symmetry_Int_Tables_number 1
_symmetry_space_group_name_Hall 'P 1'
loop_
_atom_site_label
_atom_site_type_symbol
_atom_site_fract_x
_atom_site_fract_y
_atom_site_fract_z
_atom_site_occupancy
Li1 Li 0.0000 0.0000 0.0000 1
Mo1 Mo 0.5000 0.5000 0.5000 1
Te1 Te 0.0990 0.0990 0.0990 1
Te2 Te 0.9010 0.9010 0.9010 1

---

# LiTe2Mo, optimized geometry, DFT PBE-GGA
# * space-group type: Imm2
# * excess energy over the best structure of this formula in the dataset: 0.035 eV/f.u.
data_LiTe2Mo
_cell_length_a 7.4924
_cell_length_b 7.4924
_cell_length_c 7.4924
_cell_angle_alpha 153.17
_cell_angle_beta 151.94
_cell_angle_gamma 39.21
_symmetry_space_group_name_H-M 'P 1'
_symmetry_Int_Tables_number 1
_symmetry_space_group_name_Hall 'P 1'
loop_
_atom_site_label
_atom_site_type_symbol
_atom_site_fract_x
_atom_site_fract_y
_atom_site_fract_z
_atom_site_occupancy
Te1 Te 0.0541 0.0541 0.0000 1
Te2 Te 0.7898 0.2898 0.5000 1
Li1 Li 0.4542 0.4542 0.0000 1
Mo1 Mo 0.2019 0.7019 0.5000 1

---

# LiVTe2Mo, optimized geometry, DFT PBE-GGA
# * space-group type: P4/mmm
data_LiVTe2Mo
_cell_length_a 5.3505
_cell_length_b 4.5289
_cell_length_c 5.3505
_cell_angle_alpha 90.00
_cell_angle_beta 90.00
_cell_angle_gamma 90.00
_symmetry_space_group_name_H-M 'P 1'
_symmetry_Int_Tables_number 1
_symmetry_space_group_name_Hall 'P 1'
loop_
_atom_site_label
_atom_site_type_symbol
_atom_site_fract_x
_atom_site_fract_y
_atom_site_fract_z
_atom_site_occupancy
V1 V 0.0000 0.0000 0.0000 1
Te1 Te 0.0000 0.0000 0.5000 1
Mo1 Mo 0.0000 0.5000 0.0000 1
Te2 Te 0.5000 0.0000 0.0000 1
Li1 Li 0.5000 0.5000 0.5000 1

---

Number 1: total magnetization 0.000 μB/cell, uncorrected formation energy -0.121 eV per atom. Number 2: total magnetization 0.248 μB/cell, uncorrected formation energy -0.191 eV per atom. Number 3: total magnetization 1.571 μB/cell, uncorrected formation energy 0.561 eV per atom.